# 1
{"formula": "HgIr", "functional": "PBE-GGA", "state": "optimized geometry", "cell": [[1.4672, 0.8471, 4.6737], [-1.4672, 0.8471, 4.6737], [0.0000, -1.6942, 4.6737]], "species": ["Hg", "Ir"], "frac_coords": [[0.0000, 0.0000, 0.0000], [0.5000, 0.5000, 0.5000]], "final_energy_ev_per_atom": -4.0375, "formation_enthalpy_0k_ev_per_atom": 0.544, "crystal_system": "trigonal"}



# 2
{"formula": "HgIr", "functional": "PBE-GGA", "state": "optimized geometry", "cell": [[2.0433, -4.7404, 0.0000], [2.0433, 4.7404, 0.0000], [0.0000, 0.0000, 4.3612]], "species": ["Hg", "Hg", "Ir", "Ir"], "frac_coords": [[0.1565, 0.8435, 0.7500], [0.8435, 0.1565, 0.2500], [0.4464, 0.5536, 0.7500], [0.5536, 0.4464, 0.2500]], "final_energy_ev_per_atom": -3.9176, "formation_enthalpy_0k_ev_per_atom": 0.664, "crystal_system": "orthorhombic"}



# 3
{"formula": "KHg2Ir", "functional": "PBE-GGA", "state": "optimized geometry", "cell": [[5.3606, 0.0000, 0.0000], [-2.5578, 6.4710, 0.0000], [-0.5816, -2.7665, 6.4715]], "species": ["K", "K", "Hg", "Hg", "Hg", "Hg", "Ir", "Ir"], "frac_coords": [[0.1395, 0.2808, 0.3104], [0.8605, 0.7192, 0.6896], [0.2601, 0.3017, 0.8103], [0.5000, 0.0000, 0.0000], [0.5000, 0.0000, 0.5000], [0.7399, 0.6983, 0.1897], [0.2180, 0.6685, 0.1145], [0.7820, 0.3315, 0.8855]], "final_energy_ev_per_atom": -2.5914, "formation_enthalpy_0k_ev_per_atom": 0.049, "crystal_system": "triclinic"}



# 4
{"formula": "KHgIr2", "functional": "PBE-GGA", "state": "optimized geometry", "cell": [[5.9889, -1.3808, 0.0000], [5.9889, 1.3808, 0.0000], [-5.8379, 0.0000, 6.9568]], "species": ["K", "Hg", "Ir", "Ir"], "frac_coords": [[0.0000, 0.0000, 0.0000], [0.5000, 0.5000, 0.5000], [0.1839, 0.1839, 0.8492], [0.8161, 0.8161, 0.1508]], "final_energy_ev_per_atom": -4.2465, "formation_enthalpy_0k_ev_per_atom": 0.534, "crystal_system": "monoclinic"}



# 5
{"formula": "KHgIr2", "functional": "PBE-GGA", "state": "optimized geometry", "cell": [[-1.3937, 2.7283, 5.6680], [1.3937, -2.7283, 5.6680], [1.3937, 2.7283, -5.6680]], "species": ["K", "Hg", "Ir", "Ir"], "frac_coords": [[0.0000, 0.0000, 0.0000], [0.7025, 0.2025, 0.5000], [0.2949, 0.7949, 0.5000], [0.4791, 0.4791, 0.0000]], "final_energy_ev_per_atom": -4.1418, "formation_enthalpy_0k_ev_per_atom": 0.639, "crystal_system": "orthorhombic"}



# 6
{"formula": "KHgIr2", "functional": "PBE-GGA", "state": "optimized geometry", "cell": [[-2.2986, 2.2986, 9.9355], [2.2986, -2.2986, 9.9355], [2.2986, 2.2986, -9.9355]], "species": ["K", "K", "Hg", "Hg", "Ir", "Ir", "Ir", "Ir"], "frac_coords": [[0.0000, 0.0000, 0.0000], [0.7500, 0.2500, 0.5000], [0.2500, 0.7500, 0.5000], [0.5000, 0.5000, 0.0000], [0.2894, 0.6250, 0.1644], [0.3750, 0.5394, 0.6644], [0.4606, 0.1250, 0.8356], [0.8750, 0.7106, 0.3356]], "final_energy_ev_per_atom": -4.0980, "formation_enthalpy_0k_ev_per_atom": 0.682, "crystal_system": "tetragonal"}



# 7
{"formula": "KHg2Ir", "functional": "PBE-GGA", "state": "optimized geometry", "cell": [[6.3237, 0.0000, 0.0000], [2.1877, 6.1007, 0.0000], [2.7976, 1.7090, 5.9578]], "species": ["K", "K", "Hg", "Hg", "Hg", "Hg", "Ir", "Ir"], "frac_coords": [[0.0000, 0.0000, 0.0000], [0.3457, 0.3771, 0.9278], [0.4515, 0.9833, 0.4741], [0.5199, 0.5185, 0.3151], [0.7061, 0.7595, 0.8583], [0.9632, 0.4640, 0.4868], [0.1176, 0.8051, 0.4890], [0.7948, 0.1335, 0.4895]], "final_energy_ev_per_atom": -2.5174, "formation_enthalpy_0k_ev_per_atom": 0.123, "crystal_system": "triclinic"}



# 8
{"formula": "KHgIr2", "functional": "PBE-GGA", "state": "optimized geometry", "cell": [[-2.0159, 2.0159, 4.8459], [2.0159, -2.0159, 4.8459], [2.0159, 2.0159, -4.8459]], "species": ["K", "Hg", "Ir", "Ir"], "frac_coords": [[0.0000, 0.0000, 0.0000], [0.5000, 0.5000, 0.0000], [0.2500, 0.7500, 0.5000], [0.7500, 0.2500, 0.5000]], "final_energy_ev_per_atom": -3.7490, "formation_enthalpy_0k_ev_per_atom": 1.031, "crystal_system": "tetragonal"}